Record 1
PrTlZnSe3 PBE relaxed; space-group type = Pnma (62); energy above the lowest structure with this stoichiometry = 86 meV/atom
1.0
8.7043 0.0000 0.0000
0.0000 4.4300 0.0000
0.0000 0.0000 16.6974
Pr Se Tl Zn
4 12 4 4
Cartesian
2.1662 3.3225 0.8046
6.5184 3.3225 7.5441
2.1859 1.1075 9.1533
6.5380 1.1075 15.8928
7.5842 3.3225 0.8505
4.3976 1.1075 1.5246
1.6993 3.3225 3.6342
6.0514 3.3225 4.7145
0.0455 1.1075 6.8241
3.2321 3.3225 7.4982
5.4722 1.1075 9.1992
8.6587 3.3225 9.8733
2.6529 1.1075 11.9829
7.0050 1.1075 13.0633
4.3066 3.3225 15.1728
1.1201 1.1075 15.8470
8.0867 1.1075 3.5321
3.7345 1.1075 4.8166
4.9697 3.3225 11.8809
0.6176 3.3225 13.1653
5.5707 3.3225 2.3227
1.2186 3.3225 6.0260
7.4857 1.1075 10.6714
3.1335 1.1075 14.3747


Record 2
PrTmSe3 PBE relaxed; final energy = -29.1 eV per formula unit; space-group type = Cmcm (63)
1.0
2.0236 -6.5797 0.0000
2.0236 6.5797 0.0000
0.0000 0.0000 10.0229
Pr Se Tm
2 6 2
Cartesian
2.0236 -3.2637 2.5057
2.0236 3.2637 7.5172
2.0236 1.8893 0.6215
2.0236 5.4486 2.5057
2.0236 1.8893 4.3899
2.0236 -1.8893 5.6329
2.0236 -5.4486 7.5172
2.0236 -1.8893 9.4014
0.0000 0.0000 0.0000
0.0000 0.0000 5.0114